Computed, not measured: a relaxed structure of SrFe2Tc at the PBE level of DFT.

a = 4.1157 Å, b = 4.1157 Å, c = 16.9270 Å
α = 90.00°, β = 90.00°, γ = 120.00°
Last column: nearest neighbours and their distance in Å.
Atoms (fractional coordinates):
Sr 0.0000 0.0000 0.0000  4 Tc 3.18-3.42, 7 Fe 3.19-3.47
Sr 0.3333 0.6667 0.6667  4 Tc 3.18-3.42, 7 Fe 3.19-3.47
Sr 0.6667 0.3333 0.3333  4 Tc 3.18-3.42, 7 Fe 3.19-3.47
Fe 0.0000 0.0000 0.1883  3 Fe 2.38, 3 Tc 2.48
Fe 0.0000 0.0000 0.5169  3 Fe 2.38, 3 Tc 2.46
Fe 0.3333 0.6667 0.1836  3 Fe 2.38, 3 Tc 2.46
Fe 0.3333 0.6667 0.8549  3 Fe 2.38, 3 Tc 2.48
Fe 0.6667 0.3333 0.5216  3 Fe 2.38, 3 Tc 2.48
Fe 0.6667 0.3333 0.8503  3 Fe 2.38, 3 Tc 2.46
Tc 0.0000 0.0000 0.8124  6 Fe 2.46-2.48
Tc 0.3333 0.6667 0.4790  6 Fe 2.46-2.48
Tc 0.6667 0.3333 0.1457  6 Fe 2.46-2.48

## Properties
The density is 5.96 g/cm³. The value obtained for the total energy is -6.8161 eV per atom. For the formation energy, the calculation gives 0.43 eV/atom.


Computed, not measured: a relaxed structure of Sr2FeTc at the PBE level of DFT.

a = 7.2405 Å, b = 7.2405 Å, c = 7.2405 Å
α = 90.00°, β = 90.00°, γ = 90.00°
Last column: nearest neighbours and their distance in Å.
Atoms (fractional coordinates):
Sr 0.0000 0.0000 0.0000  4 Tc 3.14, 4 Sr 3.14
Sr 0.0000 0.5000 0.5000  4 Tc 3.14, 4 Sr 3.14
Sr 0.2500 0.2500 0.2500  4 Fe 3.14, 4 Sr 3.14
Sr 0.2500 0.7500 0.7500  4 Fe 3.14, 4 Sr 3.14
Sr 0.5000 0.0000 0.5000  4 Tc 3.14, 4 Sr 3.14
Sr 0.5000 0.5000 0.0000  4 Tc 3.14, 4 Sr 3.14
Sr 0.7500 0.2500 0.7500  4 Fe 3.14, 4 Sr 3.14
Sr 0.7500 0.7500 0.2500  4 Fe 3.14, 4 Sr 3.14
Fe 0.0000 0.0000 0.5000  4 Tc 3.14, 4 Sr 3.14
Fe 0.0000 0.5000 0.0000  4 Tc 3.14, 4 Sr 3.14
Fe 0.5000 0.0000 0.0000  4 Tc 3.14, 4 Sr 3.14
Fe 0.5000 0.5000 0.5000  4 Tc 3.14, 4 Sr 3.14
Tc 0.2500 0.2500 0.7500  4 Fe 3.14, 4 Sr 3.14
Tc 0.2500 0.7500 0.2500  4 Fe 3.14, 4 Sr 3.14
Tc 0.7500 0.2500 0.2500  4 Fe 3.14, 4 Sr 3.14
Tc 0.7500 0.7500 0.7500  4 Fe 3.14, 4 Sr 3.14

## Properties
The density is 5.76 g/cm³. The value obtained for the total energy is -4.5496 eV per atom. For the formation energy, the calculation gives 1.00 eV/atom.


Computed, not measured: a relaxed structure of Sr4FeTc at the PBE level of DFT.

a = 6.7521 Å, b = 6.7521 Å, c = 6.7521 Å
α = 60.00°, β = 60.00°, γ = 60.00°
Last column: nearest neighbours and their distance in Å.
Atoms (fractional coordinates):
Sr 0.1248 0.1248 0.1248  6 Sr 3.37-3.38
Sr 0.1248 0.1248 0.6257  6 Sr 3.37-3.38
Sr 0.1248 0.6257 0.1248  6 Sr 3.37-3.38
Sr 0.6257 0.1248 0.1248  6 Sr 3.37-3.38
Fe 0.5000 0.5000 0.5000  12 Sr 3.96, 4 Tc 4.13
Tc 0.7500 0.7500 0.7500  12 Sr 3.96, 4 Fe 4.13

## Properties
The density is 3.85 g/cm³. The value obtained for the total energy is -2.7560 eV per atom. For the formation energy, the calculation gives 1.50 eV/atom.


Computed, not measured: a relaxed structure of SrFe2Tc at the PBE level of DFT.

a = 7.0840 Å, b = 7.0840 Å, c = 6.1471 Å
α = 90.00°, β = 90.00°, γ = 90.00°
Last column: nearest neighbours and their distance in Å.
Atoms (fractional coordinates):
Sr 0.0000 0.0000 0.0000  8 Fe 3.03-3.15, 2 Tc 3.07
Sr 0.0000 0.5000 0.2500  8 Fe 3.03-3.15, 2 Tc 3.07
Sr 0.5000 0.0000 0.7500  8 Fe 3.03-3.15, 2 Tc 3.07
Sr 0.5000 0.5000 0.5000  8 Fe 3.03-3.15, 2 Tc 3.07
Fe 0.1706 0.2500 0.6250  2 Tc 2.28
Fe 0.2500 0.6706 0.8750  2 Tc 2.28
Fe 0.2500 0.8294 0.3750  2 Tc 2.28
Fe 0.3294 0.2500 0.1250  2 Tc 2.28
Fe 0.6706 0.7500 0.1250  2 Tc 2.28
Fe 0.7500 0.1706 0.3750  2 Tc 2.28
Fe 0.7500 0.3294 0.8750  2 Tc 2.28
Fe 0.8294 0.7500 0.6250  2 Tc 2.28
Tc 0.0000 0.0000 0.5000  4 Fe 2.28
Tc 0.0000 0.5000 0.7500  4 Fe 2.28
Tc 0.5000 0.0000 0.2500  4 Fe 2.28
Tc 0.5000 0.5000 0.0000  4 Fe 2.28

## Properties
The density is 6.40 g/cm³. The value obtained for the total energy is -6.2411 eV per atom. For the formation energy, the calculation gives 1.00 eV/atom.


Computed, not measured: a relaxed structure of SrFeTc2 at the PBE level of DFT.

a = 5.4273 Å, b = 9.8522 Å, c = 2.6118 Å
α = 90.00°, β = 90.00°, γ = 90.00°
Last column: nearest neighbours and their distance in Å.
Atoms (fractional coordinates):
Sr 0.0000 0.0000 0.0000  2 Sr 2.61, 2 Fe 2.71
Sr 0.5000 0.5000 0.0000  2 Sr 2.61, 2 Fe 2.71
Fe 0.0000 0.5000 0.0000  2 Fe 2.61, 2 Sr 2.71
Fe 0.5000 0.0000 0.0000  2 Fe 2.61, 2 Sr 2.71
Tc 0.2500 0.2500 0.5000  4 Tc 2.61-2.71
Tc 0.2500 0.7500 0.5000  4 Tc 2.61-2.71
Tc 0.7500 0.2500 0.5000  4 Tc 2.61-2.71
Tc 0.7500 0.7500 0.5000  4 Tc 2.61-2.71

## Properties
The density is 8.07 g/cm³. The value obtained for the total energy is -6.7081 eV per atom. For the formation energy, the calculation gives 1.01 eV/atom.


Computed, not measured: a relaxed structure of Sr2FeTc at the PBE level of DFT.

a = 3.4431 Å, b = 3.4431 Å, c = 9.0993 Å
α = 90.00°, β = 90.00°, γ = 90.00°
Last column: nearest neighbours and their distance in Å.
Atoms (fractional coordinates):
Sr 0.0000 0.0000 0.0000  1 Tc 3.03, 4 Fe 3.34
Sr 0.5000 0.5000 0.4122  1 Fe 3.06, 4 Tc 3.36
Fe 0.5000 0.5000 0.7487  4 Tc 2.54
Tc 0.0000 0.0000 0.6673  4 Fe 2.54

## Properties
The density is 5.07 g/cm³. The value obtained for the total energy is -5.0213 eV per atom. For the formation energy, the calculation gives 0.53 eV/atom.


Computed, not measured: a relaxed structure of SrFeTc2 at the PBE level of DFT.

a = 2.9069 Å, b = 2.9069 Å, c = 28.2865 Å
α = 90.00°, β = 90.00°, γ = 120.00°
Last column: nearest neighbours and their distance in Å.
Atoms (fractional coordinates):
Sr 0.0000 0.0000 0.0000  6 Sr 2.91, 6 Tc 3.25
Sr 0.3333 0.6667 0.6667  6 Sr 2.91, 6 Tc 3.25
Sr 0.6667 0.3333 0.3333  6 Sr 2.91, 6 Tc 3.25
Fe 0.0000 0.0000 0.5000  6 Tc 2.55
Fe 0.3333 0.6667 0.1667  6 Tc 2.55
Fe 0.6667 0.3333 0.8333  6 Tc 2.55
Tc 0.0000 0.0000 0.2347  3 Fe 2.55
Tc 0.0000 0.0000 0.7653  3 Fe 2.55
Tc 0.3333 0.6667 0.4319  3 Fe 2.55
Tc 0.3333 0.6667 0.9014  3 Fe 2.55
Tc 0.6667 0.3333 0.0986  3 Fe 2.55
Tc 0.6667 0.3333 0.5681  3 Fe 2.55

## Properties
The density is 8.17 g/cm³. The value obtained for the total energy is -6.8173 eV per atom. For the formation energy, the calculation gives 0.90 eV/atom.


Computed, not measured: a relaxed structure of SrFeTc2 at the PBE level of DFT.

a = 6.5114 Å, b = 6.5114 Å, c = 6.5114 Å
α = 90.00°, β = 90.00°, γ = 90.00°
Last column: nearest neighbours and their distance in Å.
Atoms (fractional coordinates):
Sr 0.0000 0.0000 0.0000  4 Fe 2.82, 4 Tc 2.82
Sr 0.0000 0.5000 0.5000  4 Fe 2.82, 4 Tc 2.82
Sr 0.5000 0.0000 0.5000  4 Fe 2.82, 4 Tc 2.82
Sr 0.5000 0.5000 0.0000  4 Fe 2.82, 4 Tc 2.82
Fe 0.2500 0.2500 0.7500  4 Tc 2.82, 4 Sr 2.82
Fe 0.2500 0.7500 0.2500  4 Tc 2.82, 4 Sr 2.82
Fe 0.7500 0.2500 0.2500  4 Tc 2.82, 4 Sr 2.82
Fe 0.7500 0.7500 0.7500  4 Sr 2.82, 4 Tc 2.82
Tc 0.0000 0.0000 0.5000  4 Fe 2.82, 4 Tc 2.82
Tc 0.0000 0.5000 0.0000  4 Fe 2.82, 4 Tc 2.82
Tc 0.2500 0.2500 0.2500  4 Tc 2.82, 4 Sr 2.82
Tc 0.2500 0.7500 0.7500  4 Tc 2.82, 4 Sr 2.82
Tc 0.5000 0.0000 0.0000  4 Fe 2.82, 4 Tc 2.82
Tc 0.5000 0.5000 0.5000  4 Fe 2.82, 4 Tc 2.82
Tc 0.7500 0.2500 0.7500  4 Tc 2.82, 4 Sr 2.82
Tc 0.7500 0.7500 0.2500  4 Tc 2.82, 4 Sr 2.82

## Properties
The density is 8.17 g/cm³. The value obtained for the total energy is -6.8281 eV per atom. For the formation energy, the calculation gives 0.89 eV/atom.


Computed, not measured: a relaxed structure of SrFeTc2 at the PBE level of DFT.

a = 9.2039 Å, b = 3.1516 Å, c = 5.7639 Å
α = 90.00°, β = 104.41°, γ = 90.00°
Last column: nearest neighbours and their distance in Å.
Atoms (fractional coordinates):
Sr 0.0000 0.0000 0.0000  2 Sr 3.15, 6 Tc 3.22-3.33, 4 Fe 3.28
Sr 0.5000 0.5000 0.0000  2 Sr 3.15, 6 Tc 3.22-3.33, 4 Fe 3.28
Fe 0.0000 0.5000 0.5000  4 Tc 2.49
Fe 0.5000 0.0000 0.5000  4 Tc 2.49
Tc 0.2135 0.0000 0.6345  2 Tc 2.42, 2 Fe 2.49
Tc 0.2865 0.5000 0.3655  2 Tc 2.42, 2 Fe 2.49
Tc 0.7135 0.5000 0.6345  2 Tc 2.42, 2 Fe 2.49
Tc 0.7865 0.0000 0.3655  2 Tc 2.42, 2 Fe 2.49

## Properties
The density is 6.96 g/cm³. The value obtained for the total energy is -7.0589 eV per atom. For the formation energy, the calculation gives 0.66 eV/atom.


Computed, not measured: a relaxed structure of SrFe2Tc at the PBE level of DFT.

a = 6.4784 Å, b = 6.4784 Å, c = 6.4784 Å
α = 90.00°, β = 90.00°, γ = 90.00°
Last column: nearest neighbours and their distance in Å.
Atoms (fractional coordinates):
Sr 0.0000 0.0000 0.0000  4 Tc 2.81, 4 Fe 2.81
Sr 0.0000 0.5000 0.5000  4 Tc 2.81, 4 Fe 2.81
Sr 0.5000 0.0000 0.5000  4 Tc 2.81, 4 Fe 2.81
Sr 0.5000 0.5000 0.0000  4 Tc 2.81, 4 Fe 2.81
Fe 0.0000 0.0000 0.5000  4 Fe 2.81, 4 Tc 2.81
Fe 0.0000 0.5000 0.0000  4 Fe 2.81, 4 Tc 2.81
Fe 0.2500 0.2500 0.7500  4 Fe 2.81, 4 Sr 2.81
Fe 0.2500 0.7500 0.2500  4 Fe 2.81, 4 Sr 2.81
Fe 0.5000 0.0000 0.0000  4 Fe 2.81, 4 Tc 2.81
Fe 0.5000 0.5000 0.5000  4 Fe 2.81, 4 Tc 2.81
Fe 0.7500 0.2500 0.2500  4 Fe 2.81, 4 Sr 2.81
Fe 0.7500 0.7500 0.7500  4 Fe 2.81, 4 Sr 2.81
Tc 0.2500 0.2500 0.2500  4 Fe 2.81, 4 Sr 2.81
Tc 0.2500 0.7500 0.7500  4 Fe 2.81, 4 Sr 2.81
Tc 0.7500 0.2500 0.7500  4 Fe 2.81, 4 Sr 2.81
Tc 0.7500 0.7500 0.2500  4 Fe 2.81, 4 Sr 2.81

## Properties
The density is 7.26 g/cm³. The value obtained for the total energy is -6.2145 eV per atom. For the formation energy, the calculation gives 1.03 eV/atom.


Computed, not measured: a relaxed structure of Sr2FeTc at the PBE level of DFT.

a = 3.4898 Å, b = 3.4898 Å, c = 8.5440 Å
α = 90.00°, β = 90.00°, γ = 90.00°
Last column: nearest neighbours and their distance in Å.
Atoms (fractional coordinates):
Sr 0.0000 0.0000 0.2454  4 Tc 3.24, 4 Fe 3.29, 4 Sr 3.49
Sr 0.0000 0.0000 0.7546  4 Tc 3.24, 4 Fe 3.29, 4 Sr 3.49
Fe 0.5000 0.5000 0.5000  8 Sr 3.29, 4 Fe 3.49
Tc 0.5000 0.5000 0.0000  8 Sr 3.24, 4 Tc 3.49

## Properties
The density is 5.25 g/cm³. The value obtained for the total energy is -4.5082 eV per atom. For the formation energy, the calculation gives 1.04 eV/atom.


Computed, not measured: a relaxed structure of SrFeTc2 at the PBE level of DFT.

a = 3.8173 Å, b = 3.8173 Å, c = 4.9144 Å
α = 90.00°, β = 90.00°, γ = 90.00°
Last column: nearest neighbours and their distance in Å.
Atoms (fractional coordinates):
Sr 0.0000 0.0000 0.0000  4 Fe 2.70
Fe 0.5000 0.5000 0.0000  4 Sr 2.70
Tc 0.0000 0.5000 0.5000  4 Tc 2.70
Tc 0.5000 0.0000 0.5000  4 Tc 2.70

## Properties
The density is 7.87 g/cm³. The value obtained for the total energy is -6.6069 eV per atom. For the formation energy, the calculation gives 1.11 eV/atom.


- Look up the density of the third one.
  3.85 g/cm³


- Which formula does entry 8 have?
  SrFeTc2


- Which formula does entry 1 have?
  SrFe2Tc


- Which value of density does entry 8 give?
  8.17 g/cm³